(1)
A relaxed structure of CaTmP2Rh5. Source: Alexandria, functional PBE.

Results
* E_form: -64.1 kJ/mol of atoms
* electronic total energy: -60.0 eV/cell
* SG: No. 123
* calculated volume: 173.7 Å³/f.u.
* density: 7.51 g/cm3

abc: 4.0194 4.0194 10.7489
angles: 90.00 90.00 90.00
Element x y z (fractional)
Rh (0.5000, 0.0000, 0.8081)
Rh (0.5000, 0.5000, 0.5000)
Rh (0.0000, 0.5000, 0.8081)
Rh (0.0000, 0.5000, 0.1919)
Rh (0.5000, 0.0000, 0.1919)
P (0.5000, 0.5000, 0.2907)
P (0.5000, 0.5000, 0.7093)
Ca (0.0000, 0.0000, 0.5000)
Tm (0.0000, 0.0000, 0.0000)



(2)
A relaxed structure of Ca2UP3Rh4. Source: Alexandria, functional PBE.

Results
* E_form: -80.7 kJ/mol of atoms
* electronic total energy: -69.3 eV/cell
* SG: No. 115
* calculated volume: 178.9 Å³/f.u.
* density: 7.64 g/cm3

abc: 4.0315 4.0315 11.0053
angles: 90.00 90.00 90.00
Each line ends with the local moment (μB).
Element x y z (fractional)
U (0.5000, 0.5000, 0.5000)  1.95
Ca (0.5000, 0.0000, 0.2240)  0.02
Ca (0.0000, 0.5000, 0.7760)  0.02
Rh (0.0000, 0.5000, 0.3365)  -0.04
Rh (0.5000, 0.5000, 0.0000)  0.03
Rh (0.0000, 0.0000, 0.0000)  0.01
Rh (0.5000, 0.0000, 0.6635)  -0.04
P (0.5000, 0.0000, 0.8766)  0.01
P (0.0000, 0.0000, 0.5000)  -0.05
P (0.0000, 0.5000, 0.1234)  0.01



(3)
A relaxed structure of Ca2YP3Rh12. Source: Alexandria, functional PBE.

Results
* E_form: -27.9 kJ/mol of atoms
* electronic total energy: -120.1 eV/cell
* SG: No. 166
* calculated volume: 291.5 Å³/f.u.
* density: 8.53 g/cm3

abc: 6.6677 6.6677 6.6677
angles: 83.74 83.74 83.74
Element x y z (fractional)
Rh (0.3652, 0.3652, 0.9194)
Rh (0.3391, 0.8178, 0.8178)
Rh (0.0806, 0.6348, 0.6348)
Rh (0.9194, 0.3652, 0.3652)
Rh (0.1822, 0.6609, 0.1822)
Rh (0.8178, 0.3391, 0.8178)
Rh (0.6348, 0.6348, 0.0806)
Rh (0.1822, 0.1822, 0.6609)
Rh (0.8178, 0.8178, 0.3391)
Rh (0.6609, 0.1822, 0.1822)
Rh (0.3652, 0.9194, 0.3652)
Rh (0.6348, 0.0806, 0.6348)
Ca (0.6159, 0.6159, 0.6159)
Ca (0.3841, 0.3841, 0.3841)
Y (0.0000, 0.0000, 0.0000)
P (0.0000, 0.0000, 0.5000)
P (0.5000, 0.0000, 0.0000)
P (0.0000, 0.5000, 0.0000)



(4)
A relaxed structure of CaYP2Rh5. Source: Alexandria, functional PBE.

Results
* E_form: -62.8 kJ/mol of atoms
* electronic total energy: -61.9 eV/cell
* SG: No. 123
* calculated volume: 175.9 Å³/f.u.
* density: 6.66 g/cm3

abc: 4.0137 4.0137 10.9190
angles: 90.00 90.00 90.00
Element x y z (fractional)
Rh (0.5000, 0.0000, 0.1962)
Rh (0.0000, 0.5000, 0.1962)
Rh (0.0000, 0.5000, 0.8038)
Rh (0.5000, 0.0000, 0.8038)
Rh (0.5000, 0.5000, 0.5000)
P (0.5000, 0.5000, 0.7060)
P (0.5000, 0.5000, 0.2940)
Y (0.0000, 0.0000, 0.0000)
Ca (0.0000, 0.0000, 0.5000)